A plane-wave DFT calculation with meta-GGA SCAN was carried out for HgTe3 at its PBEsol-relaxed geometry.

Cell: 8.0800 8.0800 4.0702 Å, 90.00 90.00 120.00°
Closest atoms and distances in Å follow each position.
Element x y z (fractional)
Hg (0.3333, 0.6667, 0.2500)  6 Te 3.08
Hg (0.6667, 0.3333, 0.7500)  6 Te 3.08
Te (0.1685, 0.3369, 0.7500)  2 Hg 3.08, 4 Te 3.11
Te (0.1685, 0.8315, 0.7500)  2 Hg 3.08, 4 Te 3.11
Te (0.3369, 0.1685, 0.2500)  2 Hg 3.08, 4 Te 3.11
Te (0.6631, 0.8315, 0.7500)  2 Hg 3.08, 4 Te 3.11
Te (0.8315, 0.1685, 0.2500)  2 Hg 3.08, 4 Te 3.11
Te (0.8315, 0.6631, 0.2500)  2 Hg 3.08, 4 Te 3.11

Results
The size of the total moment comes out at 0.0 μB per formula unit. The density of states at the Fermi level is 1.759 states/eV/f.u. As for the space-group type: P6_3/mmc, No. 194. Its total energy is -358.8 eV for the cell shown.

---

A plane-wave DFT calculation with meta-GGA SCAN was carried out for Si2AgRh at its PBEsol-relaxed geometry.

Cell: 2.9461 4.4840 4.3278 Å, 90.00 90.09 90.00°
Closest atoms and distances in Å follow each position.
Element x y z (fractional)
Si (0.0000, 0.0000, 0.0000)  2 Rh 2.42, 2 Ag 2.57
Si (0.4993, 0.5000, 0.7899)  2 Rh 2.46, 4 Ag 2.61-2.62
Ag (0.9987, 0.5000, 0.2907)  6 Si 2.57-2.62
Rh (0.4985, 0.0000, 0.5565)  4 Si 2.42-2.46

Results
The size of the total moment comes out at 0.0 μB per formula unit. The density of states at the Fermi level is 0.910 states/eV/f.u. As for the space-group type: Pm, No. 6. Its total energy is -85.7 eV for the cell shown. The value obtained for the polymorph energy (0 for the lowest one) is 0.015 eV/atom.

---

A plane-wave DFT calculation with meta-GGA SCAN was carried out for YTa2In at its PBEsol-relaxed geometry.

Cell: 2.9941 2.9941 9.2483 Å, 90.00 90.00 90.00°
Closest atoms and distances in Å follow each position.
Element x y z (fractional)
Y (0.0000, 0.0000, 0.0000)  4 Y 2.99, 4 Ta 3.21, 4 In 3.31
Ta (0.0000, 0.0000, 0.5130)  8 Ta 2.98-2.99, 4 In 3.06
Ta (0.5000, 0.5000, 0.7396)  8 Ta 2.98-2.99, 4 Y 3.21
In (0.5000, 0.5000, 0.2748)  4 In 2.99, 4 Ta 3.06, 4 Y 3.31

Results
The size of the total moment comes out at 0.0 μB per formula unit. The density of states at the Fermi level is 3.776 states/eV/f.u. As for the space-group type: P4mm, No. 99. Its total energy is -193.8 eV for the cell shown. The calculation puts the energy of formation at 0.64 eV per formula unit.

---

A plane-wave DFT calculation with meta-GGA SCAN was carried out for ZrHg2Os at its PBEsol-relaxed geometry.

Cell: 3.5701 3.5701 5.8037 Å, 90.00 90.00 90.00°
Closest atoms and distances in Å follow each position.
Element x y z (fractional)
Zr (0.0000, 0.0000, 0.0000)  2 Os 2.90, 8 Hg 2.94
Hg (0.5000, 0.5000, 0.2609)  2 Hg 2.78-3.03, 4 Os 2.88, 4 Zr 2.94
Hg (0.5000, 0.5000, 0.7391)  2 Hg 2.78-3.03, 4 Os 2.88, 4 Zr 2.94
Os (0.0000, 0.0000, 0.5000)  8 Hg 2.88, 2 Zr 2.90

Results
The size of the total moment comes out at 1.2 μB per formula unit. The density of states at the Fermi level is 1.570 states/eV/f.u. As for the space-group type: P4/mmm, No. 123. Its total energy is -237.5 eV for the cell shown. The value obtained for the polymorph energy (0 for the lowest one) is 0.000 eV/atom. The calculation puts the energy of formation at 1.39 eV per formula unit.

---

A plane-wave DFT calculation with meta-GGA SCAN was carried out for Cu2IrAu at its PBEsol-relaxed geometry.

Cell: 2.8628 4.2650 4.5030 Å, 90.00 90.00 90.00°
Closest atoms and distances in Å follow each position.
Element x y z (fractional)
Cu (0.0000, 0.0000, 0.0000)  4 Au 2.57, 6 Cu 2.67-2.86
Cu (0.5000, 0.0000, 0.5000)  4 Ir 2.57, 6 Cu 2.67-2.86
Ir (0.0000, 0.5000, 0.5000)  4 Cu 2.57, 4 Au 2.67, 2 Ir 2.86
Au (0.5000, 0.5000, 0.0000)  4 Cu 2.57, 4 Ir 2.67, 2 Au 2.86

Results
The size of the total moment comes out at 0.0 μB per formula unit. The density of states at the Fermi level is 2.121 states/eV/f.u. As for the space-group type: Pmmm, No. 47. Its total energy is -169.8 eV for the cell shown. The calculation puts the energy of formation at 0.83 eV per formula unit.

---

A plane-wave DFT calculation with meta-GGA SCAN was carried out for Mn2SbAu at its PBEsol-relaxed geometry.

Cell: 3.4338 3.4338 5.6139 Å, 90.00 90.00 90.00°
Closest atoms and distances in Å follow each position.
Element x y z (fractional)
Mn (0.0000, 0.0000, 0.2495)  2 Mn 2.80-2.81, 4 Au 2.80, 4 Sb 2.81
Mn (0.0000, 0.0000, 0.7505)  2 Mn 2.80-2.81, 4 Au 2.80, 4 Sb 2.81
Sb (0.5000, 0.5000, 0.5000)  8 Mn 2.81, 2 Au 2.81
Au (0.5000, 0.5000, 0.0000)  8 Mn 2.80, 2 Sb 2.81

Results
The size of the total moment comes out at 7.8 μB per formula unit. The density of states at the Fermi level is 2.327 states/eV/f.u. As for the space-group type: P4/mmm, No. 123. Its total energy is -143.6 eV for the cell shown.

---

A plane-wave DFT calculation with meta-GGA SCAN was carried out for WAuBr2 at its PBEsol-relaxed geometry.

Cell: 5.1980 5.1980 7.0295 Å, 111.89 111.89 34.52°
Closest atoms and distances in Å follow each position.
Element x y z (fractional)
W (0.0000, 0.0000, 0.0000)  4 Br 2.54, 3 Au 2.68-2.76
Au (0.2691, 0.2691, 0.9976)  3 W 2.68-2.76
Br (0.4421, 0.4421, 0.6908)  2 W 2.54
Br (0.6123, 0.6123, 0.3088)  2 W 2.54

Results
The size of the total moment comes out at 0.9 μB per formula unit. The density of states at the Fermi level is 2.887 states/eV/f.u. As for the space-group type: Cm, No. 8. Its total energy is -176.6 eV for the cell shown. The value obtained for the polymorph energy (0 for the lowest one) is 0.000 eV/atom.

---

A plane-wave DFT calculation with meta-GGA SCAN was carried out for Sc5P at its PBEsol-relaxed geometry.

Cell: 4.5905 7.8978 7.8978 Å, 25.41 90.00 90.00°
Closest atoms and distances in Å follow each position.
Element x y z (fractional)
Sc (0.0000, 0.0000, 0.0000)  4 Sc 2.84-3.05, 4 P 2.94
Sc (0.0000, 0.3119, 0.3119)  8 Sc 3.01-3.09
Sc (0.0000, 0.6461, 0.6461)  2 P 2.83, 8 Sc 2.84-3.09
Sc (0.5000, 0.1831, 0.1831)  2 P 2.82, 6 Sc 2.93-3.03
Sc (0.5000, 0.8694, 0.8694)  8 Sc 3.01-3.36, 2 P 3.14
P (0.5000, 0.5389, 0.5389)  10 Sc 2.82-3.14

Results
The size of the total moment comes out at 0.0 μB per formula unit. The density of states at the Fermi level is 5.788 states/eV/f.u. As for the space-group type: Amm2, No. 38. Its total energy is -83.3 eV for the cell shown. The calculation puts the energy of formation at -1.75 eV per formula unit.

---

A plane-wave DFT calculation with meta-GGA SCAN was carried out for AlB3Pt at its PBEsol-relaxed geometry.

Cell: 4.1250 4.1250 4.1250 Å, 90.00 90.00 90.00°
Closest atoms and distances in Å follow each position.
Element x y z (fractional)
Al (0.0000, 0.0000, 0.0000)  12 B 2.92
B (0.0000, 0.5000, 0.5000)  2 Pt 2.06
B (0.5000, 0.0000, 0.5000)  2 Pt 2.06
B (0.5000, 0.5000, 0.0000)  2 Pt 2.06
Pt (0.5000, 0.5000, 0.5000)  6 B 2.06

Results
The size of the total moment comes out at 0.0 μB per formula unit. The density of states at the Fermi level is 3.020 states/eV/f.u. As for the space-group type: Pm-3m, No. 221. Its total energy is -94.6 eV for the cell shown. The calculation puts the energy of formation at 5.66 eV per formula unit.

---

A plane-wave DFT calculation with meta-GGA SCAN was carried out for MnTc2Ru at its PBEsol-relaxed geometry.

Cell: 5.0678 5.0678 5.0678 Å, 147.45 129.93 61.01°
Closest atoms and distances in Å follow each position.
Element x y z (fractional)
Mn (0.0000, 0.0000, 0.0000)  6 Tc 2.43-2.57, 2 Ru 2.46
Tc (0.5052, 0.5052, 0.0000)  4 Mn 2.57, 4 Tc 2.75-2.84, 2 Ru 2.79
Tc (0.7749, 0.2749, 0.5000)  2 Mn 2.43, 4 Ru 2.60
Ru (0.2300, 0.7300, 0.5000)  2 Mn 2.46, 4 Tc 2.60

Results
The size of the total moment comes out at 2.5 μB per formula unit. The density of states at the Fermi level is 3.854 states/eV/f.u. As for the space-group type: Imm2, No. 44. Its total energy is -122.8 eV for the cell shown. The value obtained for the polymorph energy (0 for the lowest one) is 0.092 eV/atom. The calculation puts the energy of formation at 0.38 eV per formula unit.

---

A plane-wave DFT calculation with meta-GGA SCAN was carried out for Lu3Ga5 at its PBEsol-relaxed geometry.

Cell: 11.1155 9.3970 5.8612 Å, 90.00 90.00 90.00°
Closest atoms and distances in Å follow each position.
Element x y z (fractional)
Lu (0.0711, 0.2500, 0.1534)  8 Ga 2.76-3.07
Lu (0.1473, 0.5076, 0.6083)  10 Ga 2.87-3.21
Lu (0.1473, 0.9924, 0.6083)  10 Ga 2.87-3.21
Lu (0.3527, 0.0076, 0.1083)  10 Ga 2.87-3.21
Lu (0.3527, 0.4924, 0.1083)  10 Ga 2.87-3.21
Lu (0.4289, 0.7500, 0.6534)  8 Ga 2.76-3.07
Lu (0.5711, 0.2500, 0.3466)  8 Ga 2.76-3.07
Lu (0.6473, 0.5076, 0.8917)  10 Ga 2.87-3.21
Lu (0.6473, 0.9924, 0.8917)  10 Ga 2.87-3.21
Lu (0.8527, 0.0076, 0.3917)  10 Ga 2.87-3.21
Lu (0.8527, 0.4924, 0.3917)  10 Ga 2.87-3.21
Lu (0.9289, 0.7500, 0.8466)  8 Ga 2.76-3.07
Ga (0.0057, 0.2500, 0.6271)  3 Ga 2.61-2.83, 3 Lu 2.87-2.89
Ga (0.0919, 0.5513, 0.1236)  4 Ga 2.61-2.83, 1 Lu 2.85
Ga (0.0919, 0.9487, 0.1236)  4 Ga 2.61-2.83, 1 Lu 2.85
Ga (0.2022, 0.7500, 0.8888)  3 Ga 2.62-2.64, 3 Lu 2.87
Ga (0.2482, 0.7500, 0.3314)  4 Ga 2.64-2.83, 1 Lu 2.76
Ga (0.2518, 0.2500, 0.8314)  4 Ga 2.64-2.83, 1 Lu 2.76
Ga (0.2978, 0.2500, 0.3888)  3 Ga 2.62-2.64, 3 Lu 2.87
Ga (0.4081, 0.0513, 0.6236)  4 Ga 2.61-2.83, 1 Lu 2.85
Ga (0.4081, 0.4487, 0.6236)  4 Ga 2.61-2.83, 1 Lu 2.85
Ga (0.4943, 0.7500, 0.1271)  3 Ga 2.61-2.83, 3 Lu 2.87-2.89
Ga (0.5057, 0.2500, 0.8729)  3 Ga 2.61-2.83, 3 Lu 2.87-2.89
Ga (0.5919, 0.5513, 0.3764)  4 Ga 2.61-2.83, 1 Lu 2.85
Ga (0.5919, 0.9487, 0.3764)  4 Ga 2.61-2.83, 1 Lu 2.85
Ga (0.7022, 0.7500, 0.6112)  3 Ga 2.62-2.64, 3 Lu 2.87
Ga (0.7482, 0.7500, 0.1686)  4 Ga 2.64-2.83, 1 Lu 2.76
Ga (0.7518, 0.2500, 0.6686)  4 Ga 2.64-2.83, 1 Lu 2.76
Ga (0.7978, 0.2500, 0.1112)  3 Ga 2.62-2.64, 3 Lu 2.87
Ga (0.9081, 0.0513, 0.8764)  4 Ga 2.61-2.83, 1 Lu 2.85
Ga (0.9081, 0.4487, 0.8764)  4 Ga 2.61-2.83, 1 Lu 2.85
Ga (0.9943, 0.7500, 0.3729)  3 Ga 2.61-2.83, 3 Lu 2.87-2.89

Results
The size of the total moment comes out at 0.0 μB per formula unit. The density of states at the Fermi level is 3.470 states/eV/f.u. As for the space-group type: Pnma, No. 62. Its total energy is -1013.9 eV for the cell shown. The calculation puts the energy of formation at -5.71 eV per formula unit.

---

A plane-wave DFT calculation with meta-GGA SCAN was carried out for Lu3InS6 at its PBEsol-relaxed geometry.

Cell: 13.0559 16.1582 3.7231 Å, 90.00 90.00 90.00°
Closest atoms and distances in Å follow each position.
Element x y z (fractional)
Lu (0.0387, 0.2257, 0.2501)  8 S 2.69-2.82
Lu (0.1893, 0.6457, 0.2502)  7 S 2.63-2.83
Lu (0.2496, 0.3922, 0.2505)  8 S 2.68-2.98
Lu (0.2504, 0.8922, 0.7495)  8 S 2.68-2.98
Lu (0.3107, 0.1457, 0.7498)  7 S 2.63-2.83
Lu (0.4613, 0.7257, 0.7499)  8 S 2.69-2.82
Lu (0.5387, 0.2743, 0.7499)  8 S 2.69-2.82
Lu (0.6893, 0.8543, 0.7498)  7 S 2.63-2.83
Lu (0.7496, 0.1078, 0.7495)  8 S 2.68-2.98
Lu (0.7504, 0.6078, 0.2505)  8 S 2.68-2.98
Lu (0.8107, 0.3543, 0.2502)  7 S 2.63-2.83
Lu (0.9613, 0.7743, 0.2501)  8 S 2.69-2.82
In (0.0000, 0.0000, 0.7489)  6 S 2.44-2.70
In (0.0000, 0.5000, 0.7506)  6 S 2.56-2.59
In (0.5000, 0.0000, 0.2494)  6 S 2.56-2.59
In (0.5000, 0.5000, 0.2511)  6 S 2.44-2.70
S (0.0215, 0.3930, 0.2504)  2 In 2.56, 2 Lu 2.71-2.82
S (0.0978, 0.9090, 0.2495)  2 In 2.69-2.70, 3 Lu 2.74-2.81
S (0.1118, 0.1208, 0.7499)  1 In 2.44, 3 Lu 2.63-2.69
S (0.1139, 0.7461, 0.7501)  5 Lu 2.66-2.96
S (0.1818, 0.2865, 0.7503)  5 Lu 2.68-2.83, 1 S 2.83
S (0.1967, 0.5212, 0.7503)  1 In 2.59, 4 Lu 2.74-2.88
S (0.3033, 0.0212, 0.2497)  1 In 2.59, 4 Lu 2.74-2.88
S (0.3182, 0.7865, 0.2497)  5 Lu 2.68-2.83, 1 S 2.83
S (0.3861, 0.2461, 0.2499)  5 Lu 2.66-2.96
S (0.3882, 0.6208, 0.2501)  1 In 2.44, 3 Lu 2.63-2.69
S (0.4022, 0.4090, 0.7505)  2 In 2.69-2.70, 3 Lu 2.74-2.81
S (0.4785, 0.8930, 0.7496)  2 In 2.56, 2 Lu 2.71-2.82
S (0.5215, 0.1070, 0.7496)  2 In 2.56, 2 Lu 2.71-2.82
S (0.5978, 0.5910, 0.7505)  2 In 2.69-2.70, 3 Lu 2.74-2.81
S (0.6118, 0.3792, 0.2501)  1 In 2.44, 3 Lu 2.63-2.69
S (0.6139, 0.7539, 0.2499)  5 Lu 2.66-2.96
S (0.6818, 0.2135, 0.2497)  5 Lu 2.68-2.83, 1 S 2.83
S (0.6967, 0.9788, 0.2497)  1 In 2.59, 4 Lu 2.74-2.88
S (0.8033, 0.4788, 0.7503)  1 In 2.59, 4 Lu 2.74-2.88
S (0.8182, 0.7135, 0.7503)  5 Lu 2.68-2.83, 1 S 2.83
S (0.8861, 0.2539, 0.7501)  5 Lu 2.66-2.96
S (0.8882, 0.8792, 0.7499)  1 In 2.44, 3 Lu 2.63-2.69
S (0.9022, 0.0910, 0.2495)  2 In 2.69-2.70, 3 Lu 2.74-2.81
S (0.9785, 0.6070, 0.2504)  2 In 2.56, 2 Lu 2.71-2.82

Results
The size of the total moment comes out at 0.0 μB per formula unit. As for the space-group type: P2_12_12, No. 18. Its total energy is -1103.5 eV for the cell shown.